1.
The following is a GGA-PBE calculation of a relaxed ScTaGaCu crystal, from OQMD via LeMat-Bulk.

It has space group F-43m (No. 216), with a = 6.510 Å, b = 6.510 Å, c = 6.510 Å, α = 90.00°, β = 90.00° and γ = 90.00°. Symmetry generates all atoms from Sc at (0.000, 0.000, 0.000), Ta at (0.250, 0.250, 0.250), Ga at (0.000, 0.000, 0.500) and Cu at (0.250, 0.250, 0.750).

The calculation puts the distance to the lowest polymorph of the same formula at 0 meV/atom.


2.
The following is a GGA-PBE calculation of a relaxed ScGaCuTc crystal, from OQMD via LeMat-Bulk.

It has space group F-43m (No. 216), with a = 6.266 Å, b = 6.266 Å, c = 6.266 Å, α = 90.00°, β = 90.00° and γ = 90.00°. Symmetry generates all atoms from Sc at (0.000, 0.000, 0.000), Ga at (0.000, 0.000, 0.500), Cu at (0.250, 0.250, 0.750) and Tc at (0.250, 0.250, 0.250).

The calculation puts the distance to the lowest polymorph of the same formula at 0 meV/atom.


3.
The following is a GGA-PBE calculation of a relaxed Ga2CuSe4 crystal, from OQMD via LeMat-Bulk.

It has space group I-42m (No. 121), with a = 5.349 Å, b = 5.349 Å, c = 11.577 Å, α = 90.00°, β = 90.00° and γ = 90.00°. Symmetry generates all atoms from Ga at (0.000, 0.500, 0.250), Cu at (0.000, 0.000, 0.000) and Se at (0.234, 0.234, 0.383).

The calculation puts the distance to the lowest polymorph of the same formula at 0 meV/atom.


4.
The following is a GGA-PBE calculation of a relaxed Ga2CuSe4 crystal, from OQMD via LeMat-Bulk.

It has space group P4_122 (No. 91), with a = 7.568 Å, b = 7.568 Å, c = 10.769 Å, α = 90.00°, β = 90.00° and γ = 90.00°. Symmetry generates all atoms from Ga at (0.000, 0.266, 0.000), Ga at (0.248, 0.248, 0.375), Cu at (0.246, 0.500, 0.750), Se at (0.023, 0.252, 0.757) and Se at (0.258, 0.488, 0.988).

The calculation puts the distance to the lowest polymorph of the same formula at 118 meV/atom.


5.
The following is a GGA-PBE calculation of a relaxed Ga2Cu2Te3Se crystal, from OQMD via LeMat-Bulk.

It has space group C2 (No. 5), with a = 13.236 Å, b = 5.985 Å, c = 5.985 Å, α = 90.00°, β = 116.55° and γ = 90.00°. Symmetry generates all atoms from Ga at (0.121, 0.000, 0.383), Cu at (0.119, 0.525, 0.857), Te at (0.000, 0.272, 0.000), Te at (0.250, 0.262, 0.764) and Se at (0.000, 0.753, 0.500).

The calculation puts the total energy at -3.627 eV/atom.


6.
The following is a GGA-PBE calculation of a relaxed GaCu2TeSe2 crystal, from OQMD via LeMat-Bulk.

It has space group Cc (No. 9), with a = 7.080 Å, b = 12.160 Å, c = 6.924 Å, α = 90.00°, β = 108.78° and γ = 90.00°. Symmetry generates all atoms from Ga at (0.000, 0.086, 0.000), Cu at (0.015, 0.407, 0.008), Cu at (0.018, 0.241, 0.489), Te at (0.394, 0.086, 0.121), Se at (0.377, 0.414, 0.118) and Se at (0.378, 0.249, 0.623).

The calculation puts the total energy at -3.751 eV/atom.


7.
The following is a GGA-PBE calculation of a relaxed GaCuTeSe crystal, from OQMD via LeMat-Bulk.

It has space group Cc (No. 9), with a = 8.333 Å, b = 8.334 Å, c = 7.138 Å, α = 90.00°, β = 125.22° and γ = 90.00°. Symmetry generates all atoms from Ga at (0.000, 0.114, 0.000), Cu at (0.476, 0.137, 0.000), Te at (0.108, 0.380, 0.250) and Se at (0.118, 0.129, 0.750).

The calculation puts the distance to the lowest polymorph of the same formula at 0 meV/atom.


8.
The following is a GGA-PBE calculation of a relaxed Ga2Cu2TeSe3 crystal, from OQMD via LeMat-Bulk.

It has space group C2 (No. 5), with a = 12.741 Å, b = 5.771 Å, c = 5.772 Å, α = 90.00°, β = 116.60° and γ = 90.00°. Symmetry generates all atoms from Ga at (0.129, 0.000, 0.390), Cu at (0.131, 0.477, 0.869), Te at (0.000, 0.727, 0.000), Se at (0.000, 0.249, 0.500) and Se at (0.250, 0.239, 0.245).

The calculation puts the total energy at -3.810 eV/atom.


9.
The following is a GGA-PBE calculation of a relaxed ZrGaCu2Se4 crystal, from OQMD via LeMat-Bulk.

It has space group I-4 (No. 82), with a = 5.763 Å, b = 5.763 Å, c = 11.703 Å, α = 90.00°, β = 90.00° and γ = 90.00°. Symmetry generates all atoms from Zr at (0.000, 0.000, 0.000), Ga at (0.000, 0.500, 0.750), Cu at (0.000, 0.000, 0.500), Cu at (0.000, 0.500, 0.250) and Se at (0.232, 0.246, 0.373).

The calculation puts the total energy at -4.660 eV/atom.


10.
The following is a GGA-PBE calculation of a relaxed GaCu2Si crystal, from OQMD via LeMat-Bulk.

It has space group Pm-3m (No. 221), with a = 6.033 Å, b = 6.033 Å, c = 6.033 Å, α = 90.00°, β = 90.00° and γ = 90.00°. Symmetry generates all atoms from Ga at (0.000, 0.000, 0.000), Ga at (0.000, 0.000, 0.500), Cu at (0.258, 0.258, 0.258), Si at (0.000, 0.500, 0.500) and Si at (0.500, 0.500, 0.500).

The calculation puts the total energy at -3.807 eV/atom.


11.
The following is a GGA-PBE calculation of a relaxed GaCu2Si crystal, from OQMD via LeMat-Bulk.

It has space group Pm-3m (No. 221), with a = 6.028 Å, b = 6.028 Å, c = 6.028 Å, α = 90.00°, β = 90.00° and γ = 90.00°. Symmetry generates all atoms from Ga at (0.000, 0.000, 0.000), Ga at (0.000, 0.000, 0.500), Cu at (0.258, 0.258, 0.258), Si at (0.000, 0.500, 0.500) and Si at (0.500, 0.500, 0.500).

The calculation puts the total energy at -3.807 eV/atom.


12.
The following is a GGA-PBE calculation of a relaxed Ga2CuSi crystal, from OQMD via LeMat-Bulk.

It has space group F-43m (No. 216), with a = 6.332 Å, b = 6.332 Å, c = 6.332 Å, α = 90.00°, β = 90.00° and γ = 90.00°. Symmetry generates all atoms from Ga at (0.000, 0.000, 0.000), Ga at (0.250, 0.250, 0.250), Cu at (0.250, 0.250, 0.750) and Si at (0.000, 0.000, 0.500).

The calculation puts the total energy at -3.540 eV/atom.